Density functional theory data (PBE) for a geometry-optimized BeBiSCl2 structure.

Output
Raw formation energy ... 0.320 eV/atom
E_tot ... -13.83 eV per cell
DOS(E_F) ... 1.5 states/eV per cell
M_tot ... 0.18 μB/atom
Space group ... P4/mmm

Cell: 5.425 5.425 5.331 Å, 90.00 90.00 90.00°
Element x y z (fractional)
Be 0.000 0.000 0.000
Bi 0.500 0.500 0.500
S 0.500 0.500 0.000
Cl 0.000 0.500 0.500
Cl 0.500 0.000 0.500